Record 1
The following is a GGA-PBE calculation of an optimized crystal structure of Hf6SbPb, from the Alexandria database.

Results
**Space-group type**: P-1 (2)

Cell lengths 5.6034, 5.6087, 5.6103 Å; angles 91.02, 90.53, 90.47 degrees
Fractional coordinates of all 8 atoms:
Hf: 0.9999 0.0051 0.2507
Hf: 0.0001 0.9949 0.7493
Hf: 0.2507 0.5006 0.5030
Hf: 0.4962 0.2490 0.0037
Hf: 0.5038 0.7510 0.9963
Hf: 0.7493 0.4994 0.4970
Sb: 0.5000 0.0000 0.5000
Pb: 0.0000 0.5000 0.0000

Record 2
The following is a GGA-PBE calculation of an optimized crystal structure of HfSb2Pb2, from the Alexandria database.

Results
**Space-group type**: P4/mbm (127)

Cell lengths 7.7069, 7.7069, 4.9004 Å; angles 90.00, 90.00, 90.00 degrees
Fractional coordinates of all 10 atoms:
Hf: 0.0000 0.0000 0.0000
Hf: 0.5000 0.5000 0.0000
Sb: 0.1559 0.3441 0.0000
Sb: 0.3441 0.8441 0.0000
Sb: 0.6559 0.1559 0.0000
Sb: 0.8441 0.6559 0.0000
Pb: 0.1590 0.6590 0.5000
Pb: 0.3410 0.1590 0.5000
Pb: 0.6590 0.8410 0.5000
Pb: 0.8410 0.3410 0.5000

Formation energy from raw total energies, record by record: -0.12 0.06 eV/atom
Spin magnetization, record by record: 0.0 0.0 μB per cell
V, record by record: 176 146 Å³/f.u.